No. 1
Y3InPb: single point on PBEsol structure, SCAN.

a = 5.6270 Å, b = 5.6270 Å, c = 5.6270 Å
α = 90.00°, β = 90.00°, γ = 90.00°
Last column: nearest neighbours and their distance in Å.
Fractional coordinates of all 5 atoms:
Y1 0.0000 0.0000 0.5000  2 Pb 2.81
Y2 0.0000 0.5000 0.0000  2 Pb 2.81
Y3 0.5000 0.0000 0.0000  2 Pb 2.81
In1 0.5000 0.5000 0.5000  12 Y 3.98
Pb1 0.0000 0.0000 0.0000  6 Y 2.81

## Properties
**Electronic total energy**: -38.61 eV/atom
**Density**: 5.49 g cm⁻³
**ΔE_f**: -6.5 kJ/mol of atoms

=====

No. 2
LiLu2Tc: single point on PBEsol structure, SCAN.

a = 6.7314 Å, b = 6.7314 Å, c = 6.7314 Å
α = 90.00°, β = 90.00°, γ = 90.00°
Last column: nearest neighbours and their distance in Å.
Fractional coordinates of all 16 atoms:
Li1 0.0000 0.0000 0.0000  8 Lu 2.91
Li2 0.0000 0.5000 0.5000  8 Lu 2.91
Li3 0.5000 0.0000 0.5000  8 Lu 2.91
Li4 0.5000 0.5000 0.0000  8 Lu 2.91
Lu1 0.2500 0.2500 0.2500  4 Li 2.91, 4 Tc 2.91
Lu2 0.2500 0.2500 0.7500  4 Li 2.91, 4 Tc 2.91
Lu3 0.2500 0.7500 0.2500  4 Li 2.91, 4 Tc 2.91
Lu4 0.2500 0.7500 0.7500  4 Li 2.91, 4 Tc 2.91
Lu5 0.7500 0.2500 0.2500  4 Li 2.91, 4 Tc 2.91
Lu6 0.7500 0.2500 0.7500  4 Li 2.91, 4 Tc 2.91
Lu7 0.7500 0.7500 0.2500  4 Li 2.91, 4 Tc 2.91
Lu8 0.7500 0.7500 0.7500  4 Tc 2.91, 4 Li 2.91
Tc1 0.0000 0.0000 0.5000  8 Lu 2.91
Tc2 0.0000 0.5000 0.0000  8 Lu 2.91
Tc3 0.5000 0.0000 0.0000  8 Lu 2.91
Tc4 0.5000 0.5000 0.5000  8 Lu 2.91

## Properties
**Electronic total energy**: -37.17 eV/atom
**Density**: 9.91 g cm⁻³
**ΔE_f**: -13.3 kJ/mol of atoms

=====

No. 3
Li3Ti2MnO6: single point on PBEsol structure, SCAN.

a = 6.5445 Å, b = 6.5445 Å, c = 5.8319 Å
α = 107.87°, β = 107.87°, γ = 25.34°
Last column: nearest neighbours and their distance in Å.
Fractional coordinates of all 12 atoms:
Li1 0.0000 0.0000 0.0000  6 O 2.08-2.11
Li2 0.3338 0.3338 0.6780  6 O 2.00-2.11
Li3 0.6662 0.6662 0.3220  6 O 2.00-2.11
Ti1 0.3458 0.3458 0.1950  6 O 1.93-2.11
Ti2 0.6542 0.6542 0.8050  6 O 1.93-2.11
Mn1 0.0000 0.0000 0.5000  6 O 2.01
O1 0.1649 0.1649 0.5775  2 Ti 1.99, 1 Mn 2.01, 3 Li 2.05-2.07
O2 0.1718 0.1718 0.0606  3 Ti 2.03-2.11, 3 Li 2.11
O3 0.4966 0.4966 0.7385  1 Ti 1.93, 3 Li 2.00-2.08, 2 Mn 2.01
O4 0.5034 0.5034 0.2615  1 Ti 1.93, 3 Li 2.00-2.08, 2 Mn 2.01
O5 0.8282 0.8282 0.9394  3 Ti 2.03-2.11, 3 Li 2.11
O6 0.8351 0.8351 0.4225  2 Ti 1.99, 1 Mn 2.01, 3 Li 2.05-2.07

## Properties
**Electronic total energy**: -10.56 eV/atom
**Density**: 4.38 g cm⁻³
**Raw formation energy**: -255.9 kJ/mol of atoms

=====

No. 4
Ag4Pt3: single point on PBEsol structure, SCAN.

a = 9.3610 Å, b = 2.7789 Å, c = 8.5115 Å
α = 90.00°, β = 96.01°, γ = 90.00°
Last column: nearest neighbours and their distance in Å.
Fractional coordinates of all 14 atoms:
Ag1 0.0000 0.0000 0.0000  9 Ag 2.78-2.87, 3 Pt 2.83
Ag2 0.0653 0.5000 0.2933  7 Ag 2.78-2.87, 5 Pt 2.80-2.82
Ag3 0.2823 0.0000 0.1419  8 Ag 2.78-2.87, 4 Pt 2.83
Ag4 0.4303 0.0000 0.7132  4 Ag 2.78-2.83, 8 Pt 2.79-2.83
Ag5 0.5000 0.5000 0.0000  9 Ag 2.78-2.87, 3 Pt 2.83
Ag6 0.5653 0.0000 0.2933  7 Ag 2.78-2.87, 5 Pt 2.80-2.82
Ag7 0.7823 0.5000 0.1419  8 Ag 2.78-2.87, 4 Pt 2.83
Ag8 0.9303 0.5000 0.7132  4 Ag 2.78-2.83, 8 Pt 2.79-2.83
Pt1 0.1465 0.0000 0.5765  7 Pt 2.76-2.92, 5 Ag 2.79-2.82
Pt2 0.2138 0.5000 0.8544  4 Pt 2.76-2.78, 8 Ag 2.80-2.83
Pt3 0.3501 0.5000 0.4301  5 Pt 2.76-2.92, 7 Ag 2.80-2.83
Pt4 0.6465 0.5000 0.5765  7 Pt 2.76-2.92, 5 Ag 2.79-2.82
Pt5 0.7138 0.0000 0.8544  4 Pt 2.76-2.78, 8 Ag 2.80-2.83
Pt6 0.8501 0.0000 0.4301  5 Pt 2.76-2.92, 7 Ag 2.80-2.83

## Properties
**Electronic total energy**: -47.99 eV/atom
**Density**: 15.33 g cm⁻³
**ΔE_f**: 1.7 kJ/mol of atoms